Entry 1:
A geometry-optimized Tl2SnSI structure. Source: the Alexandria database, functional GGA-PBE.

It has space group P4/mmm (No. 123), with a = 5.975 Å, b = 5.975 Å, c = 5.777 Å, α = 90.00°, β = 90.00° and γ = 90.00°. The inequivalent atoms are Tl at (0.000, 0.500, 0.000), Sn at (0.000, 0.000, 0.000), S at (0.500, 0.500, 0.500) and I at (0.000, 0.000, 0.500).

Its total magnetic moment is 0.1403 μB/atom. The density comes out at 5.527 g cm⁻³. As for the uncorrected formation energy: 0.368 eV per atom. The density of states at the Fermi level is 1.148 states/eV/atom. The uncorrected energy comes out at -2.515 eV per atom.



Entry 2:
A geometry-optimized VSnS2I structure. Source: the Alexandria database, functional GGA-PBE.

It has space group P4/mmm (No. 123), with a = 5.383 Å, b = 5.383 Å, c = 5.006 Å, α = 90.00°, β = 90.00° and γ = 90.00°. The inequivalent atoms are V at (0.000, 0.000, 0.000), Sn at (0.500, 0.500, 0.000), S at (0.000, 0.500, 0.500) and I at (0.000, 0.000, 0.500).

Its total magnetic moment is 0.7390 μB/atom. The density comes out at 4.130 g cm⁻³. As for the uncorrected formation energy: 0.996 eV per atom. The density of states at the Fermi level is 0.981 states/eV/atom. The uncorrected energy comes out at -3.590 eV per atom.